1.
## Rb2PmTmS4 (PBE-GGA)

Data for Rb2PmTmS4 after structural relaxation.

Results
For the size of the total moment, the calculation gives 0.00 μB per cell. Its formation energy from raw total energies is -14.697 eV per formula unit. As for the space group: P2/m, No. 10.

```
Rb2PmTmS4
1.0
7.1216 0.0000 0.0000
0.0000 4.1102 0.0000
-2.3698 0.0000 7.6961
Rb Pm Tm S
2 1 1 4
direct
0.0000 0.0000 0.0000
0.5000 0.5000 0.0000
0.0000 0.5000 0.5000
0.5000 0.0000 0.5000
0.2404 0.0000 0.6945
0.2782 0.5000 0.3090
0.7218 0.5000 0.6910
0.7596 0.0000 0.3055
```

***

2.
## Rb4Pm3TmS8 (PBE-GGA)

Data for Rb4Pm3TmS8 after structural relaxation.

Results
For the size of the total moment, the calculation gives 0.00 μB per cell. Its formation energy from raw total energies is -29.351 eV per formula unit. As for the space group: R-3m, No. 166.

```
Rb4Pm3TmS8
1.0
4.1523 2.3973 7.7068
-4.1523 2.3973 7.7068
0.0000 -4.7947 7.7068
Rb Pm Tm S
4 3 1 8
direct
0.0000 0.0000 0.0000
0.0000 0.5000 0.5000
0.5000 0.0000 0.5000
0.5000 0.5000 0.0000
0.0000 0.0000 0.5000
0.0000 0.5000 0.0000
0.5000 0.0000 0.0000
0.5000 0.5000 0.5000
0.2324 0.2324 0.2324
0.2399 0.7268 0.7268
0.2732 0.2732 0.7601
0.2732 0.7601 0.2732
0.7268 0.2399 0.7268
0.7268 0.7268 0.2399
0.7601 0.2732 0.2732
0.7676 0.7676 0.7676
```

***

Number 1: density of states at the Fermi level 0.00 states/eV/atom. Number 2: density of states at the Fermi level 0.00 states/eV/atom.